No. 1
First-principles (PBE) data for a geometry-optimized DyHoAl structure, as listed in Alexandria.

Lattice parameters (Å, degrees): 5.0521 5.0521 3.5429 90.00 90.00 120.00
Space group P3m1 (No. 156)
Inequivalent atoms, fractional coordinates:
Dy: 0.0000 0.0000 0.0000
Ho: 0.3333 0.6667 0.5595
Al: 0.6667 0.3333 0.2868

Results
Total DFT energy (no corrections) in eV/atom: -4.4614
Formation energy in eV/atom: -0.1539
Mass density in g/cm3: 7.51
D(E_F) in states/eV per cell: 1.821

No. 2
First-principles (PBE) data for a geometry-optimized Dy3HoAl2 structure, as listed in Alexandria.

Lattice parameters (Å, degrees): 5.092 9.461 6.538 90.00 90.00 90.00
Space group Pmc2_1 (No. 26)
Inequivalent atoms, fractional coordinates:
Dy: 0.000 0.041 0.000
Dy: 0.000 0.324 0.341
Dy: 0.500 0.178 0.715
Ho: 0.500 0.459 0.055
Al: 0.000 0.353 0.821
Al: 0.500 0.147 0.235

Results
Total DFT energy (no corrections) in eV/atom: -4.6044
Formation energy in eV/atom: -0.2929
Mass density in g/cm3: 7.45
D(E_F) in states/eV per cell: 9.343

No. 3
First-principles (PBE) data for a geometry-optimized DyHoAl6 structure, as listed in Alexandria.

Lattice parameters (Å, degrees): 6.1732 6.1732 4.7239 90.00 90.00 120.00
Space group P-6m2 (No. 187)
Inequivalent atoms, fractional coordinates:
Dy: 0.0000 0.0000 0.0000
Ho: 0.6667 0.3333 0.5000
Al: 0.0362 0.5181 0.0000
Al: 0.1850 0.3701 0.5000

Results
Total DFT energy (no corrections) in eV/atom: -4.3739
Formation energy in eV/atom: -0.4195
Mass density in g/cm3: 5.21
D(E_F) in states/eV per cell: 3.940

No. 4
First-principles (PBE) data for a geometry-optimized Dy5Ho12Al3 structure, as listed in Alexandria.

Lattice parameters (Å, degrees): 18.147 18.147 18.147 90.00 90.00 90.00
Space group Ia-3d (No. 230)
Inequivalent atoms, fractional coordinates:
Dy: 0.000 0.000 0.000
Dy: 0.000 0.250 0.375
Ho: 0.002 0.083 0.650
Al: 0.000 0.250 0.125

Results
Total DFT energy (no corrections) in eV/atom: -3.5933
Formation energy in eV/atom: 0.8653
Mass density in g/cm3: 6.39
D(E_F) in states/eV per cell: 249.983

No. 5
First-principles (PBE) data for a geometry-optimized DyHo5Al4 structure, as listed in Alexandria.

Lattice parameters (Å, degrees): 3.559 3.559 19.574 90.00 90.00 90.00
Space group P4/mmm (No. 123)
Inequivalent atoms, fractional coordinates:
Dy: 0.000 0.000 0.000
Ho: 0.500 0.500 0.128
Ho: 0.500 0.500 0.315
Ho: 0.500 0.500 0.500
Al: 0.000 0.000 0.221
Al: 0.000 0.000 0.407

Results
Total DFT energy (no corrections) in eV/atom: -4.5584
Formation energy in eV/atom: -0.3123
Mass density in g/cm3: 7.34
D(E_F) in states/eV per cell: 7.119

No. 6
First-principles (PBE) data for a geometry-optimized DyHo3Al structure, as listed in Alexandria.

Lattice parameters (Å, degrees): 13.361 13.332 6.651 90.00 99.30 90.00
Space group C2/c (No. 15)
Inequivalent atoms, fractional coordinates:
Dy: 0.106 0.181 0.134
Ho: 0.105 0.075 0.618
Ho: 0.151 0.342 0.517
Ho: 0.180 0.415 0.025
Al: 0.000 0.278 0.750
Al: 0.000 0.495 0.250

Results
Total DFT energy (no corrections) in eV/atom: -4.3955
Formation energy in eV/atom: 0.0201
Mass density in g/cm3: 7.77
D(E_F) in states/eV per cell: 57.273

No. 7
First-principles (PBE) data for a geometry-optimized Dy3Ho2Al4 structure, as listed in Alexandria.

Lattice parameters (Å, degrees): 5.1032 5.1032 9.7001 90.00 90.00 120.00
Space group P-3m1 (No. 164)
Inequivalent atoms, fractional coordinates:
Dy: 0.0000 0.0000 0.0000
Dy: 0.3333 0.6667 0.5813
Ho: 0.3333 0.6667 0.2183
Al: 0.0000 0.0000 0.3510
Al: 0.3333 0.6667 0.9012

Results
Total DFT energy (no corrections) in eV/atom: -4.5553
Formation energy in eV/atom: -0.3406
Mass density in g/cm3: 7.02
D(E_F) in states/eV per cell: 5.893

No. 8
First-principles (PBE) data for a geometry-optimized Dy4Ho4Al structure, as listed in Alexandria.

Lattice parameters (Å, degrees): 10.484 10.484 4.815 90.00 90.00 90.00
Space group I4/mmm (No. 139)
Inequivalent atoms, fractional coordinates:
Dy: 0.000 0.332 0.000
Ho: 0.159 0.159 0.500
Al: 0.000 0.000 0.000

Results
Total DFT energy (no corrections) in eV/atom: -4.5271
Formation energy in eV/atom: -0.0314
Mass density in g/cm3: 8.39
D(E_F) in states/eV per cell: 27.170

No. 9
First-principles (PBE) data for a geometry-optimized DyHo7Al5 structure, as listed in Alexandria.

Lattice parameters (Å, degrees): 6.085 10.216 10.655 90.00 90.00 90.00
Space group Imm2 (No. 44)
Inequivalent atoms, fractional coordinates:
Dy: 0.000 0.000 0.000
Ho: 0.000 0.000 0.345
Ho: 0.000 0.000 0.674
Ho: 0.000 0.307 0.508
Ho: 0.000 0.337 0.023
Ho: 0.000 0.500 0.742
Al: 0.000 0.500 0.276
Al: 0.247 0.240 0.770

Results
Total DFT energy (no corrections) in eV/atom: -4.4827
Formation energy in eV/atom: -0.2243
Mass density in g/cm3: 7.28
D(E_F) in states/eV per cell: 23.576

No. 10
First-principles (PBE) data for a geometry-optimized Dy3Ho3Al2 structure, as listed in Alexandria.

Lattice parameters (Å, degrees): 5.121 11.578 15.058 90.00 90.00 90.00
Space group Cmcm (No. 63)
Inequivalent atoms, fractional coordinates:
Dy: 0.000 0.042 0.250
Dy: 0.000 0.149 0.527
Ho: 0.000 0.242 0.750
Ho: 0.000 0.463 0.606
Al: 0.000 0.280 0.151

Results
Total DFT energy (no corrections) in eV/atom: -4.4912
Formation energy in eV/atom: -0.1131
Mass density in g/cm3: 7.71
D(E_F) in states/eV per cell: 29.199

No. 11
First-principles (PBE) data for a geometry-optimized Dy2HoAl6 structure, as listed in Alexandria.

Lattice parameters (Å, degrees): 3.441 7.881 14.592 90.00 90.00 90.00
Space group Immm (No. 71)
Inequivalent atoms, fractional coordinates:
Dy: 0.000 0.000 0.150
Ho: 0.000 0.500 0.000
Al: 0.000 0.171 0.339
Al: 0.000 0.328 0.500

Results
Total DFT energy (no corrections) in eV/atom: -4.2632
Formation energy in eV/atom: -0.2368
Mass density in g/cm3: 5.47
D(E_F) in states/eV per cell: 12.677

No. 12
First-principles (PBE) data for a geometry-optimized DyHo3Al8 structure, as listed in Alexandria.

Lattice parameters (Å, degrees): 5.5392 5.5392 27.2707 90.00 90.00 120.00
Space group R3m (No. 160, hexagonal axes)
Inequivalent atoms, fractional coordinates:
Dy: 0.0000 0.0000 0.0000
Ho: 0.0000 0.0000 0.1246
Ho: 0.0000 0.0000 0.5001
Ho: 0.0000 0.0000 0.6246
Al: 0.0000 0.0000 0.3123
Al: 0.0000 0.0000 0.8124
Al: 0.0000 0.5000 0.0624
Al: 0.9999 0.5000 0.5622

Results
Total DFT energy (no corrections) in eV/atom: -4.5384
Formation energy in eV/atom: -0.5154
Mass density in g/cm3: 6.00
D(E_F) in states/eV per cell: 30.427

No. 13
First-principles (PBE) data for a geometry-optimized Dy2Ho2Al structure, as listed in Alexandria.

Lattice parameters (Å, degrees): 12.436 3.679 8.768 90.00 134.58 90.00
Space group C2/m (No. 12)
Inequivalent atoms, fractional coordinates:
Dy: 0.084 0.000 0.357
Ho: 0.233 0.500 0.818
Al: 0.000 0.500 0.000

Results
Total DFT energy (no corrections) in eV/atom: -4.5540
Formation energy in eV/atom: -0.1335
Mass density in g/cm3: 7.93
D(E_F) in states/eV per cell: 13.876

No. 14
First-principles (PBE) data for a geometry-optimized Dy2HoAl structure, as listed in Alexandria.

Lattice parameters (Å, degrees): 5.285 6.818 11.817 90.00 90.00 90.00
Space group Amm2 (No. 38)
Inequivalent atoms, fractional coordinates:
Dy: 0.000 0.000 0.000
Dy: 0.000 0.237 0.237
Dy: 0.500 0.000 0.650
Ho: 0.500 0.238 0.412
Al: 0.000 0.000 0.491
Al: 0.500 0.000 0.158

Results
Total DFT energy (no corrections) in eV/atom: -4.5808
Formation energy in eV/atom: -0.1996
Mass density in g/cm3: 8.06
D(E_F) in states/eV per cell: 16.122

No. 15
First-principles (PBE) data for a geometry-optimized Dy7Ho12Al structure, as listed in Alexandria.

Lattice parameters (Å, degrees): 11.8482 11.8482 15.5032 90.00 90.00 120.00
Space group R-3 (No. 148, hexagonal axes)
Inequivalent atoms, fractional coordinates:
Dy: 0.0000 0.0000 0.0000
Dy: 0.0576 0.1878 0.2972
Ho: 0.0399 0.4608 0.2139
Ho: 0.0555 0.5836 0.5854
Al: 0.0000 0.0000 0.5000

Results
Total DFT energy (no corrections) in eV/atom: -4.3559
Formation energy in eV/atom: 0.1886
Mass density in g/cm3: 8.31
D(E_F) in states/eV per cell: 92.435

No. 16
First-principles (PBE) data for a geometry-optimized DyHo3Al8 structure, as listed in Alexandria.

Lattice parameters (Å, degrees): 5.5391 5.5391 9.0919 90.00 90.00 120.00
Space group P3m1 (No. 156)
Inequivalent atoms, fractional coordinates:
Dy: 0.0000 0.0000 0.0000
Ho: 0.0000 0.0000 0.3646
Ho: 0.6667 0.3333 0.4998
Ho: 0.6667 0.3333 0.8645
Al: 0.1621 0.3242 0.6820
Al: 0.3333 0.6667 0.4325
Al: 0.3333 0.6667 0.9322
Al: 0.5046 0.0092 0.1827

Results
Total DFT energy (no corrections) in eV/atom: -4.5295
Formation energy in eV/atom: -0.5065
Mass density in g/cm3: 6.00
D(E_F) in states/eV per cell: 5.765

No. 17
First-principles (PBE) data for a geometry-optimized Dy5Ho2Al4 structure, as listed in Alexandria.

Lattice parameters (Å, degrees): 3.298 7.102 27.393 90.00 90.00 90.00
Space group Immm (No. 71)
Inequivalent atoms, fractional coordinates:
Dy: 0.000 0.000 0.000
Dy: 0.000 0.254 0.393
Ho: 0.000 0.500 0.285
Al: 0.000 0.169 0.500
Al: 0.000 0.500 0.178

Results
Total DFT energy (no corrections) in eV/atom: -4.0679
Formation energy in eV/atom: 0.2172
Mass density in g/cm3: 6.47
D(E_F) in states/eV per cell: 24.398

No. 18
First-principles (PBE) data for a geometry-optimized Dy2Ho5Al4 structure, as listed in Alexandria.

Lattice parameters (Å, degrees): 4.924 10.709 12.851 90.00 90.00 90.00
Space group Immm (No. 71)
Inequivalent atoms, fractional coordinates:
Dy: 0.000 0.000 0.179
Ho: 0.000 0.344 0.192
Ho: 0.000 0.500 0.500
Al: 0.000 0.000 0.399
Al: 0.000 0.179 0.000

Results
Total DFT energy (no corrections) in eV/atom: -4.0560
Formation energy in eV/atom: 0.2225
Mass density in g/cm3: 6.16
D(E_F) in states/eV per cell: 22.066